<i>
# HoCuAg

An optimized crystal structure of HoCuAg (PBE-GGA, Alexandria).

CIF file:
```
data_HoCuAg
_cell_length_a 4.5143
_cell_length_b 4.5143
_cell_length_c 3.4373
_cell_angle_alpha 90.00
_cell_angle_beta 90.00
_cell_angle_gamma 120.00
_symmetry_space_group_name_H-M 'P -6 m 2'
_symmetry_Int_Tables_number 187
_symmetry_space_group_name_Hall 'P -6 2'
loop_
_atom_site_label
_atom_site_fract_x
_atom_site_fract_y
_atom_site_fract_z
Ho1 0.0000 0.0000 0.0000
Cu1 0.6667 0.3333 0.5000
Ag1 0.3333 0.6667 0.5000
```

<ii>
# HoCuAg

An optimized crystal structure of HoCuAg (PBE-GGA, Alexandria).

CIF file:
```
data_HoCuAg
_cell_length_a 3.591
_cell_length_b 3.591
_cell_length_c 9.102
_cell_angle_alpha 90.00
_cell_angle_beta 90.00
_cell_angle_gamma 90.00
_symmetry_space_group_name_H-M 'I 4 m m'
_symmetry_Int_Tables_number 107
_symmetry_space_group_name_Hall 'I 4 -2'
loop_
_atom_site_label
_atom_site_fract_x
_atom_site_fract_y
_atom_site_fract_z
Ho1 0.000 0.000 0.000
Cu1 0.000 0.000 0.334
Ag1 0.000 0.000 0.680
```

Energetically preferred structure: <ii> | next structure: +6 meV/atom

<i>
# HoCuAg

An optimized crystal structure of HoCuAg (PBE-GGA, Alexandria).

CIF file:
```
data_HoCuAg
_cell_length_a 6.415
_cell_length_b 6.415
_cell_length_c 6.415
_cell_angle_alpha 90.00
_cell_angle_beta 90.00
_cell_angle_gamma 90.00
_symmetry_space_group_name_H-M 'F -4 3 m'
_symmetry_Int_Tables_number 216
_symmetry_space_group_name_Hall 'F -4 2 3'
loop_
_atom_site_label
_atom_site_fract_x
_atom_site_fract_y
_atom_site_fract_z
Ho1 0.000 0.000 0.000
Cu1 0.250 0.250 0.750
Ag1 0.000 0.000 0.500
```

<ii>
# HoCuAg

An optimized crystal structure of HoCuAg (PBE-GGA, Alexandria).

CIF file:
```
data_HoCuAg
_cell_length_a 9.972
_cell_length_b 3.988
_cell_length_c 7.149
_cell_angle_alpha 90.00
_cell_angle_beta 123.17
_cell_angle_gamma 90.00
_symmetry_space_group_name_H-M 'C 1 2/m 1'
_symmetry_Int_Tables_number 12
loop_
_symmetry_equiv_pos_as_xyz
'x,y,z'
'-x,-y,-z'
'-x,y,-z'
'x,-y,z'
'x+1/2,y+1/2,z'
'-x+1/2,-y+1/2,-z'
'-x+1/2,y+1/2,-z'
'x+1/2,-y+1/2,z'
loop_
_atom_site_label
_atom_site_fract_x
_atom_site_fract_y
_atom_site_fract_z
Ho1 0.057 0.000 0.302
Cu1 0.139 0.500 0.662
Ag1 0.174 0.500 0.083
```

<iii>
# HoCuAg

An optimized crystal structure of HoCuAg (PBE-GGA, Alexandria).

CIF file:
```
data_HoCuAg
_cell_length_a 6.303
_cell_length_b 5.367
_cell_length_c 7.549
_cell_angle_alpha 90.00
_cell_angle_beta 111.12
_cell_angle_gamma 90.00
_symmetry_space_group_name_H-M 'P 1 21/c 1'
_symmetry_Int_Tables_number 14
loop_
_symmetry_equiv_pos_as_xyz
'x,y,z'
'-x,-y,-z'
'-x,y+1/2,-z+1/2'
'x,-y+1/2,z+1/2'
loop_
_atom_site_label
_atom_site_fract_x
_atom_site_fract_y
_atom_site_fract_z
Ho1 0.191 0.120 0.374
Cu1 0.165 0.625 0.516
Ag1 0.415 0.593 0.296
```

Energetically preferred structure: <ii> | next structure: +14 meV/atom

<i>
# Ho4Cu3Ag

An optimized crystal structure of Ho4Cu3Ag (PBE-GGA, Alexandria).

CIF file:
```
data_Ho4Cu3Ag
_cell_length_a 3.726
_cell_length_b 4.567
_cell_length_c 10.397
_cell_angle_alpha 90.00
_cell_angle_beta 90.00
_cell_angle_gamma 90.00
_symmetry_space_group_name_H-M 'P m m 2'
_symmetry_Int_Tables_number 25
loop_
_symmetry_equiv_pos_as_xyz
'x,y,z'
'-x,-y,z'
'-x,y,z'
'x,-y,z'
loop_
_atom_site_label
_atom_site_fract_x
_atom_site_fract_y
_atom_site_fract_z
Ho1 0.000 0.000 0.000
Ho2 0.000 0.500 0.270
Ho3 0.500 0.000 0.482
Ho4 0.500 0.500 0.776
Cu1 0.000 0.500 0.553
Cu2 0.500 0.000 0.204
Cu3 0.500 0.500 0.061
Ag1 0.000 0.000 0.707
```

<ii>
# Ho4Cu3Ag

An optimized crystal structure of Ho4Cu3Ag (PBE-GGA, Alexandria).

CIF file:
```
data_Ho4Cu3Ag
_cell_length_a 3.493
_cell_length_b 4.960
_cell_length_c 9.882
_cell_angle_alpha 90.00
_cell_angle_beta 90.00
_cell_angle_gamma 90.00
_symmetry_space_group_name_H-M 'P m m m'
_symmetry_Int_Tables_number 47
loop_
_symmetry_equiv_pos_as_xyz
'x,y,z'
'-x,-y,-z'
'-x,-y,z'
'x,y,-z'
'x,-y,-z'
'-x,y,z'
'-x,y,-z'
'x,-y,z'
loop_
_atom_site_label
_atom_site_fract_x
_atom_site_fract_y
_atom_site_fract_z
Ho1 0.000 0.000 0.000
Ho2 0.000 0.000 0.500
Ho3 0.000 0.500 0.240
Cu1 0.500 0.000 0.249
Cu2 0.500 0.500 0.000
Ag1 0.500 0.500 0.500
```

Energetically preferred structure: <ii> | next structure: +12 meV/atom